AcDyGePd (GGA-PBE, optimized geometry); density of states at the Fermi level = 2.00 states/eV per cell; electronic total energy = -5.31 eV/atom; E_form = -2.70 eV/f.u.
1.0
-2.4110 -3.7125 -2.8281
-3.5004 -3.1824 2.2832
-5.1072 0.4665 -1.1369
Ac Ge Pd Dy
1 1 1 1
Cartesian
0.0000 0.0000 0.0000
-2.7546 -1.6071 -0.4204
-8.2639 -4.8213 -1.2613
-5.5093 -3.2142 -0.8409

---

Ca4TlAg2Hg (GGA-PBE, optimized geometry); density of states at the Fermi level = 3.39 states/eV per cell; electronic total energy = -2.44 eV/atom; E_form = -3.17 eV/f.u.
1.0
-2.2023 4.8085 0.7252
-2.1731 1.2575 4.7111
6.2214 5.1302 4.5249
Ca Tl Ag Hg
4 1 2 1
Cartesian
3.7836 6.7559 5.9911
-1.4771 7.2391 6.4601
3.3231 3.9572 3.5011
-1.9376 4.4404 3.9701
0.0000 0.0000 0.0000
1.4123 8.4085 7.4807
0.4337 2.7878 2.4805
0.9230 5.5982 4.9806

---

MgMnAu2 (GGA-PBE, optimized geometry); density of states at the Fermi level = 1.60 states/eV per cell; electronic total energy = -4.59 eV/atom; E_form = -1.04 eV/f.u.
1.0
-2.7626 -2.9030 3.2413
-3.8422 -2.5697 -2.2803
5.0345 0.5636 -0.9498
Mg Mn Au
1 1 2
Cartesian
-3.3020 -2.7361 0.4804
-1.0548 -2.3710 -1.3749
-0.0005 -0.0004 0.0001
-0.5154 -2.5380 1.3860

---

NaSbI2F (GGA-PBE, optimized geometry); density of states at the Fermi level = 2.10 states/eV per cell; electronic total energy = -2.79 eV/atom; ΔE_f (raw) = -0.71 eV per atom
1.0
6.1608 0.0000 0.0000
0.0000 6.1608 0.0000
0.0000 0.0000 4.2408
I Sb F Na
2 1 1 1
Cartesian
0.0000 3.0804 0.0000
3.0804 0.0000 0.0000
0.0000 0.0000 2.1204
0.0000 0.0000 0.0000
3.0804 3.0804 2.1204

---

Ca2ScP (GGA-PBE, optimized geometry); density of states at the Fermi level = 1.51 states/eV per cell; electronic total energy = -4.47 eV/atom; E_form = -2.14 eV/f.u.
1.0
-4.2292 0.9108 -4.9677
-6.4930 -0.8495 0.7171
5.4644 3.1439 1.9107
Ca P Sc
2 1 1
Cartesian
-0.0293 0.0002 -0.0116
-1.4079 2.0390 -2.3315
-5.1907 0.0297 -2.0578
-3.9910 1.1671 -0.0644

---

NaHf2Ag2 (GGA-PBE, optimized geometry); density of states at the Fermi level = 8.16 states/eV per cell; electronic total energy = -5.16 eV/atom; E_form = 1.14 eV/f.u.
1.0
8.6794 0.0000 0.0000
0.0000 8.6794 0.0000
0.0000 0.0000 2.9192
Na Hf Ag
2 4 4
Cartesian
0.0000 0.0000 0.0000
4.3397 4.3397 0.0000
1.0971 5.4368 1.4596
5.4368 7.5823 1.4596
7.5823 3.2426 1.4596
3.2426 1.0971 1.4596
2.8741 7.2138 0.0000
7.2138 5.8053 0.0000
5.8053 1.4656 0.0000
1.4656 2.8741 0.0000

---

LiTh5Bi6 (GGA-PBE, optimized geometry); density of states at the Fermi level = 7.08 states/eV per cell; electronic total energy = -5.73 eV/atom; E_form = -6.51 eV/f.u.
1.0
7.8302 0.1927 1.1905
1.9257 6.6393 3.8708
0.1350 0.0796 7.9045
Bi Th Li
6 5 1
Cartesian
6.1383 0.7017 3.7570
3.0847 4.0441 5.1477
2.3846 1.6398 1.2208
7.3713 5.1922 3.8406
6.8063 2.8675 7.8181
3.7527 6.2099 9.2088
4.3308 1.2743 6.4764
0.6896 2.2503 3.9055
4.8780 3.4160 2.5307
1.3711 4.4686 7.8699
5.5602 5.6373 6.4894
0.0000 0.0000 0.0000

---

BaPu2Rh (GGA-PBE, optimized geometry); density of states at the Fermi level = 18.36 states/eV per cell; electronic total energy = -9.48 eV/atom; E_form = 0.01 eV/f.u.
1.0
-2.0544 -2.8818 -2.0262
1.9217 -2.3270 -2.7428
2.0496 -7.9924 5.1852
Rh Ba Pu
1 1 2
Cartesian
0.0000 0.0000 0.0000
0.9585 -6.6006 0.2081
0.2829 -2.7137 -0.5312
1.6340 -10.4874 0.9473

---

Tb2SmPuSb4 (GGA-PBE, optimized geometry); density of states at the Fermi level = 16.76 states/eV per cell; electronic total energy = -6.61 eV/atom; ΔE_f (raw) = -1.01 eV per atom
1.0
-0.6615 0.4425 4.3589
5.7052 -4.9275 1.3660
6.6025 3.8449 0.6117
Tb Sm Pu Sb
2 1 1 4
Cartesian
6.6025 3.8449 0.6117
2.9705 2.1437 2.4853
2.5219 -2.2425 2.8624
6.1539 -0.5413 0.9889
9.2283 -0.8386 1.4856
2.4180 0.1984 4.8510
5.6173 -2.5157 3.3600
6.0290 1.8756 2.9767

---

GaRu3W (GGA-PBE, optimized geometry); density of states at the Fermi level = 5.19 states/eV per cell; electronic total energy = -7.23 eV/atom; E_form = 7.68 eV/f.u.
1.0
-2.7504 3.5116 -1.5229
-2.3157 -0.0334 4.1051
3.0476 3.1437 1.7447
Ru Ga W
3 1 1
Cartesian
-1.1578 -0.0167 2.0525
1.5238 1.5719 0.8724
-1.3752 1.7558 -0.7615
-1.0092 3.3110 2.1634
0.0000 0.0000 0.0000

---

OsRuPt (GGA-PBE, optimized geometry); density of states at the Fermi level = 6.40 states/eV per cell; electronic total energy = -8.64 eV/atom; E_form = 0.63 eV/f.u.
1.0
2.5749 0.0000 0.9061
0.0000 7.2580 0.0000
2.3622 0.0000 5.6259
Os Ru Pt
2 2 2
Cartesian
4.1384 5.9401 4.6897
2.0862 2.3111 2.2953
0.9180 0.0502 1.5048
2.7317 3.6792 4.5741
2.6839 1.0224 4.7102
0.9657 4.6514 1.3687

---

YHo3Er3Te8 (GGA-PBE, optimized geometry); density of states at the Fermi level = 6.72 states/eV per cell; electronic total energy = -5.27 eV/atom; ΔE_f (raw) = -1.33 eV per atom
1.0
8.6282 0.0002 -0.0003
-4.3139 7.4717 -0.0257
-0.0003 -4.9574 7.0639
Y Ho Er Te
1 3 3 8
Cartesian
-0.0002 -2.4787 3.5319
4.3139 -2.4786 3.5318
2.1570 1.2573 3.5190
-2.1571 1.2572 3.5191
0.0000 0.0000 0.0000
-2.1570 3.7359 -0.0129
2.1571 3.7360 -0.0130
0.0000 2.4965 1.7431
4.3140 0.0180 5.2948
4.3141 2.4326 1.6982
-0.0002 0.0819 5.3397
2.1020 6.2642 1.6852
2.2120 -3.7497 5.3527
-2.1018 6.2641 1.6853
6.4157 -3.7496 5.3526

---

CaV2Au (GGA-PBE, optimized geometry); density of states at the Fermi level = 7.29 states/eV per cell; electronic total energy = -5.32 eV/atom; E_form = 2.24 eV/f.u.
1.0
0.0000 3.3535 3.3535
3.3535 0.0000 3.3535
3.3535 3.3535 0.0000
Ca Au V
1 1 2
Cartesian
0.0000 0.0000 0.0000
3.3535 3.3535 3.3535
1.6768 1.6768 1.6768
5.0303 5.0303 5.0303

---

Cs4AgCl2 (GGA-PBE, optimized geometry); density of states at the Fermi level = 2.47 states/eV per cell; electronic total energy = -2.34 eV/atom; ΔE_f (raw) = -0.91 eV per atom
1.0
6.8843 0.0000 0.0000
0.0000 6.8843 0.0000
3.4422 3.4422 9.1176
Cs Ag Cl
4 1 2
Cartesian
6.8843 6.8843 3.9827
3.4422 3.4422 5.1349
0.0000 3.4422 0.0000
3.4422 0.0000 0.0000
0.0000 0.0000 0.0000
3.4422 3.4422 1.9168
6.8843 6.8843 7.2008

---

KCoGeCl2 (GGA-PBE, optimized geometry); density of states at the Fermi level = 0.80 states/eV per cell; electronic total energy = -3.68 eV/atom; ΔE_f (raw) = -0.38 eV per atom
1.0
5.5220 0.0000 0.0000
0.0000 4.5894 0.0000
0.0000 0.0000 5.5220
Ge Co K Cl
1 1 1 2
Cartesian
0.0000 0.0000 0.0000
0.0000 2.2947 0.0000
2.7610 2.2947 2.7610
0.0000 0.0000 2.7610
2.7610 0.0000 0.0000

---

EuHoZr (GGA-PBE, optimized geometry); density of states at the Fermi level = 2.99 states/eV per cell; electronic total energy = -7.65 eV/atom; E_form = 0.46 eV/f.u.
1.0
3.4233 0.0000 0.0000
0.0000 3.4233 0.0000
-1.7117 -1.7117 7.6754
Eu Ho Zr
1 1 1
Cartesian
1.7117 1.7117 7.5521
1.7117 1.7117 2.8186
0.0000 0.0000 4.9801

---

CeURu (GGA-PBE, optimized geometry); density of states at the Fermi level = 12.77 states/eV per cell; electronic total energy = -8.96 eV/atom; E_form = -0.37 eV/f.u.
1.0
3.3603 0.0000 0.0000
-1.6802 4.1422 -0.6561
0.0000 -0.3905 9.1991
Ce U Ru
2 2 2
Cartesian
1.6802 2.4824 7.8267
0.0000 1.2693 0.7163
1.6802 0.9124 3.8005
0.0000 2.8393 4.7426
1.6802 3.2738 2.0700
0.0000 0.4779 6.4731

---

InOsC2 (GGA-PBE, optimized geometry); density of states at the Fermi level = 3.09 states/eV per cell; electronic total energy = -7.18 eV/atom; E_form = 3.71 eV/f.u.
1.0
-4.7515 0.9495 -1.2305
-0.4900 -4.6712 -1.7122
-4.0273 -3.2977 2.8512
C Os In
4 2 2
Cartesian
-4.3504 -0.7524 -0.3512
-1.5944 -3.6877 -0.4302
-4.9538 -3.5616 1.1476
-7.6390 -6.0372 -0.5491
0.0000 0.0000 0.0000
-5.6997 -2.1045 0.0747
-2.6208 -1.8609 -1.4713
-3.5690 -4.9149 -0.1662

---

TaSb3P (GGA-PBE, optimized geometry); density of states at the Fermi level = 2.60 states/eV per cell; electronic total energy = -5.10 eV/atom; ΔE_f (raw) = 0.82 eV per atom
1.0
-0.1611 -1.7201 -5.0356
4.6219 -2.5419 0.7204
-2.6371 -4.3500 1.5702
Sb P Ta
3 1 1
Cartesian
2.3110 -1.2709 0.3602
-1.3185 -2.1750 0.7851
-0.0805 -0.8600 -2.5178
0.9119 -4.3060 -1.3725
0.0000 0.0000 0.0000

---

NaPa2PN6 (GGA-PBE, optimized geometry); density of states at the Fermi level = 3.43 states/eV per cell; electronic total energy = -8.03 eV/atom; ΔE_f (raw) = -0.46 eV per atom
1.0
-1.0261 4.9168 0.3456
-0.6307 -0.4845 5.0198
4.9356 0.9798 0.7146
Na Pa P N
1 2 1 6
Cartesian
1.5972 2.9084 3.0543
-0.3283 -0.1802 2.5143
2.4548 0.5519 0.3617
-0.6035 2.8916 0.2033
0.1955 3.7142 1.5160
2.9577 4.2625 1.9160
2.0468 0.7542 2.9028
-0.2630 1.2601 0.0886
2.6047 3.9914 4.7253
-0.1575 3.4431 4.3253